# 1
This record from the Alexandria database describes Ba2CeAuS5 after structural relaxation. The functional is PBE.

The structure in CIF format:
```
data_Ba2CeAuS5
_cell_length_a 4.129
_cell_length_b 18.395
_cell_length_c 12.862
_cell_angle_alpha 90.00
_cell_angle_beta 90.00
_cell_angle_gamma 90.00
_space_group_name_H-M_alt 'C m c 21'
_space_group_IT_number 36
loop_
_space_group_symop_operation_xyz
'x,y,z'
'-x,-y,z+1/2'
'-x,y,z'
'x,-y,z+1/2'
'x+1/2,y+1/2,z'
'-x+1/2,-y+1/2,z+1/2'
'-x+1/2,y+1/2,z'
'x+1/2,-y+1/2,z+1/2'
loop_
_atom_site_label
_atom_site_type_symbol
_atom_site_fract_x
_atom_site_fract_y
_atom_site_fract_z
Ba1 Ba 0.000 0.120 0.000
Ba2 Ba 0.000 0.126 0.635
Ce1 Ce 0.000 0.198 0.322
Au1 Au 0.000 0.461 0.756
S1 S 0.000 0.045 0.353
S2 S 0.000 0.298 0.963
S3 S 0.000 0.303 0.679
S4 S 0.000 0.343 0.319
S5 S 0.000 0.499 0.080
```

Properties
**E_form (uncorrected)**: -13.559 eV/f.u.
**Density of states at the Fermi level**: 1.8 states/eV/f.u.


# 2
This record from the Alexandria database describes BaCeAuSe4 after structural relaxation. The functional is PBE.

The structure in CIF format:
```
data_BaCeAuSe4
_cell_length_a 7.517
_cell_length_b 5.892
_cell_length_c 9.289
_cell_angle_alpha 90.00
_cell_angle_beta 110.17
_cell_angle_gamma 90.00
_space_group_name_H-M_alt 'P 1 21/m 1'
_space_group_IT_number 11
loop_
_space_group_symop_operation_xyz
'x,y,z'
'-x,-y,-z'
'-x,y+1/2,-z'
'x,-y+1/2,z'
loop_
_atom_site_label
_atom_site_type_symbol
_atom_site_fract_x
_atom_site_fract_y
_atom_site_fract_z
Ba1 Ba 0.245 0.250 0.441
Ce1 Ce 0.222 0.250 0.944
Au1 Au 0.259 0.750 0.216
Se1 Se 0.043 0.750 0.368
Se2 Se 0.072 0.750 0.912
Se3 Se 0.461 0.516 0.785
```

Properties
**E_form (uncorrected)**: -8.939 eV/f.u.
**Density of states at the Fermi level**: 2.9 states/eV/f.u.


# 3
This record from the Alexandria database describes Ba2CeAuSe5 after structural relaxation. The functional is PBE.

The structure in CIF format:
```
data_Ba2CeAuSe5
_cell_length_a 4.299
_cell_length_b 19.001
_cell_length_c 13.304
_cell_angle_alpha 90.00
_cell_angle_beta 90.00
_cell_angle_gamma 90.00
_space_group_name_H-M_alt 'C m c 21'
_space_group_IT_number 36
loop_
_space_group_symop_operation_xyz
'x,y,z'
'-x,-y,z+1/2'
'-x,y,z'
'x,-y,z+1/2'
'x+1/2,y+1/2,z'
'-x+1/2,-y+1/2,z+1/2'
'-x+1/2,y+1/2,z'
'x+1/2,-y+1/2,z+1/2'
loop_
_atom_site_label
_atom_site_type_symbol
_atom_site_fract_x
_atom_site_fract_y
_atom_site_fract_z
Ba1 Ba 0.000 0.122 0.000
Ba2 Ba 0.000 0.122 0.360
Ce1 Ce 0.000 0.195 0.684
Au1 Au 0.000 0.451 0.103
Se1 Se 0.000 0.039 0.708
Se2 Se 0.000 0.302 0.329
Se3 Se 0.000 0.304 0.038
Se4 Se 0.000 0.343 0.681
Se5 Se 0.000 0.499 0.427
```

Properties
**E_form (uncorrected)**: -13.075 eV/f.u.
**Density of states at the Fermi level**: 3.2 states/eV/f.u.


# 4
This record from the Alexandria database describes BaCeSnAu after structural relaxation. The functional is PBE.

The structure in CIF format:
```
data_BaCeSnAu
_cell_length_a 7.979
_cell_length_b 7.979
_cell_length_c 7.979
_cell_angle_alpha 90.00
_cell_angle_beta 90.00
_cell_angle_gamma 90.00
_space_group_name_H-M_alt 'F -4 3 m'
_space_group_IT_number 216
_space_group_name_Hall 'F -4 2 3'
loop_
_atom_site_label
_atom_site_type_symbol
_atom_site_fract_x
_atom_site_fract_y
_atom_site_fract_z
Ba1 Ba 0.000 0.000 0.000
Ce1 Ce 0.000 0.000 0.500
Sn1 Sn 0.250 0.250 0.750
Au1 Au 0.250 0.250 0.250
```

Properties
**Density of states at the Fermi level**: 9.1 states/eV/f.u.
**Formation enthalpy at 0 K**: -11.7 kcal/mol of atoms


Number 1: uncorrected energy -5.25 eV/atom. Number 2: uncorrected energy -4.86 eV/atom. Number 3: uncorrected energy -4.84 eV/atom. Number 4: uncorrected energy -4.29 eV/atom.